First-principles (PBE) data for Tl3Pd6Pt after structural relaxation, as listed in Alexandria.

a = 8.947 Å, b = 8.947 Å, c = 5.102 Å
α = 90.00°, β = 90.00°, γ = 116.59°
Fractional coordinates of all 20 atoms:
Tl: 0.105 0.895 0.500
Tl: 0.229 0.435 0.151
Tl: 0.435 0.229 0.651
Tl: 0.565 0.771 0.151
Tl: 0.771 0.565 0.651
Tl: 0.895 0.105 0.000
Pd: 0.044 0.468 0.735
Pd: 0.112 0.208 0.564
Pd: 0.208 0.112 0.064
Pd: 0.208 0.792 0.952
Pd: 0.444 0.556 0.686
Pd: 0.468 0.044 0.235
Pd: 0.532 0.956 0.735
Pd: 0.556 0.444 0.186
Pd: 0.792 0.208 0.452
Pd: 0.792 0.888 0.564
Pd: 0.888 0.792 0.064
Pd: 0.956 0.532 0.235
Pt: 0.283 0.717 0.449
Pt: 0.717 0.283 0.949

Computed properties:
As for the volume: 18.3 Å³ per atom. The final energy is -4.49 eV/atom. As for the energy of formation from the pure elements: -0.0637 eV/atom. As for the energy above the most stable polymorph in this dataset: 0.074 eV/atom.